{
  "formula": "ZrCrO2F",
  "functional": "GGA+U",
  "state": "optimized geometry",
  "energy_ev_per_cell": -39.26,
  "m_tot_mub_per_cell": 5.0,
  "density_g_cm3": 4.404,
  "cell": [[-2.066, 0.772, -3.515], [-2.481, -3.241, 0.747], [-2.672, 2.535, 2.127]],
  "species": ["F", "Zr", "O", "Cr", "O"],
  "frac_coords": [[0.000, 0.000, 0.500], [0.000, 0.000, 0.000], [0.000, 0.500, 0.000], [0.500, 0.500, 0.500], [0.500, 0.000, 0.000]]
}